## TiCrTeN2 (PBE)

Data for a relaxed TiCrTeN2 crystal.

Computed properties:
Fermi-level density of states in states/eV per atom: 0.887
Uncorrected formation energy in meV/atom: 489

Geometry as POSCAR:
```
TiCrTeN2
1.0
-2.889 -0.598 2.403
-0.191 -3.628 -1.132
3.553 -1.410 3.919
Ti Te Cr N
1 1 1 2
direct
0.500 0.500 0.500 Ti
0.000 0.000 0.500 Te
0.000 0.000 0.000 Cr
0.500 0.000 0.000 N
0.000 0.500 0.000 N
```